*A*
Ce6Co2Ir | PBE | optimized geometry

Unit cell a=8.1392 b=8.1392 c=8.1392 alpha=112.90 beta=108.67 gamma=106.90
Fractional positions:
Ce 0.0633 0.8169 0.2464
Ce 0.1693 0.4635 0.2942
Ce 0.1693 0.8751 0.7058
Ce 0.3493 0.3136 0.6630
Ce 0.3493 0.6864 0.0357
Ce 0.4296 0.1831 0.2464
Ce 0.5704 0.8169 0.7536
Ce 0.6507 0.3136 0.9643
Ce 0.6507 0.6864 0.3370
Ce 0.8307 0.1249 0.2942
Ce 0.8307 0.5365 0.7058
Ce 0.9367 0.1831 0.7536
Co 0.1450 0.5000 0.6450
Co 0.2904 0.2904 0.0000
Co 0.7096 0.7096 0.0000
Co 0.8550 0.5000 0.3550
Ir 0.0000 0.0000 0.0000
Ir 0.5000 0.0000 0.5000

Computed properties:
* density: 9.23 g cm⁻³
* D(E_F): 2.552 states/eV per atom

*B*
Ce6Co2Ir | PBE | optimized geometry

Unit cell a=6.3493 b=6.9360 c=11.4055 alpha=90.00 beta=121.07 gamma=90.00
Fractional positions:
Ce 0.0669 0.1838 0.4177
Ce 0.0669 0.3162 0.9177
Ce 0.2674 0.6447 0.4410
Ce 0.2674 0.8553 0.9410
Ce 0.4097 0.0892 0.2360
Ce 0.4097 0.4108 0.7360
Ce 0.5903 0.5892 0.2640
Ce 0.5903 0.9108 0.7640
Ce 0.7326 0.1447 0.0590
Ce 0.7326 0.3553 0.5590
Ce 0.9331 0.6838 0.0823
Ce 0.9331 0.8162 0.5823
Co 0.1846 0.1236 0.7280
Co 0.1846 0.3764 0.2280
Co 0.8154 0.6236 0.7720
Co 0.8154 0.8764 0.2720
Ir 0.5000 0.0000 0.5000
Ir 0.5000 0.5000 0.0000

Computed properties:
* density: 8.88 g cm⁻³
* D(E_F): 2.298 states/eV per atom

Most stable of them? *A*.